Model w:
## CaLu2Hg (PBE)

Data for a relaxed structure of CaLu2Hg.

Results
space group: P4/mmm

abc: 4.6438 4.8534 4.8534
angles: 90.00 90.00 90.00
With the nearest neighbours (Å) after each atom.
Atoms (fractional coordinates):
Lu (0.0000, 0.0000, 0.5000)  4 Hg 3.36, 4 Ca 3.36, 4 Lu 3.43
Lu (0.0000, 0.5000, 0.0000)  4 Hg 3.36, 4 Ca 3.36, 4 Lu 3.43
Ca (0.5000, 0.0000, 0.0000)  8 Lu 3.36, 4 Hg 3.43
Hg (0.5000, 0.5000, 0.5000)  8 Lu 3.36, 4 Ca 3.43


Model x:
## CaLu2Hg (PBE)

Data for a relaxed structure of CaLu2Hg.

Results
space group: R-3m

abc: 3.5735 3.5735 11.4401
angles: 81.01 81.01 60.00
With the nearest neighbours (Å) after each atom.
Atoms (fractional coordinates):
Lu (0.0987, 0.0987, 0.7039)  3 Hg 3.09, 1 Ca 3.33
Lu (0.9013, 0.9013, 0.2961)  3 Hg 3.09, 1 Ca 3.33
Ca (0.0000, 0.0000, 0.0000)  2 Lu 3.33, 6 Ca 3.57
Hg (0.5000, 0.5000, 0.5000)  6 Lu 3.09


Model y:
## CaLu2Hg (PBE)

Data for a relaxed structure of CaLu2Hg.

Results
space group: P4/mmm

abc: 3.6401 3.6401 9.1062
angles: 90.00 90.00 90.00
With the nearest neighbours (Å) after each atom.
Atoms (fractional coordinates):
Lu (0.0000, 0.0000, 0.1972)  4 Hg 3.14
Lu (0.0000, 0.0000, 0.8028)  4 Hg 3.14
Ca (0.5000, 0.5000, 0.5000)  4 Ca 3.64, 8 Lu 3.77
Hg (0.5000, 0.5000, 0.0000)  8 Lu 3.14


model y takes first place; second place is 0.038 eV/atom up.


Model w:
## CaMg2Hg8 (PBE)

Data for a relaxed structure of CaMg2Hg8.

Results
space group: C2/m

abc: 5.3886 7.9499 7.9499
angles: 117.35 101.41 101.41
With the nearest neighbours (Å) after each atom.
Atoms (fractional coordinates):
Mg (0.0000, 0.3098, 0.6902)  8 Hg 2.89-3.03
Mg (0.0000, 0.6902, 0.3098)  8 Hg 2.89-3.03
Hg (0.1487, 0.0863, 0.3255)  2 Mg 2.99-3.03, 4 Hg 3.16-3.25
Hg (0.1487, 0.3255, 0.0863)  2 Mg 2.99-3.03, 4 Hg 3.16-3.25
Hg (0.6955, 0.4023, 0.4023)  2 Mg 3.00, 4 Hg 3.06-3.21, 1 Ca 3.08
Hg (0.3045, 0.5977, 0.5977)  2 Mg 3.00, 4 Hg 3.06-3.21, 1 Ca 3.08
Hg (0.5000, 0.7670, 0.2330)  2 Mg 2.89, 2 Hg 3.16, 1 Ca 3.16
Hg (0.5000, 0.2330, 0.7670)  2 Mg 2.89, 2 Hg 3.16, 1 Ca 3.16
Hg (0.8513, 0.9137, 0.6745)  2 Mg 2.99-3.03, 4 Hg 3.16-3.25
Hg (0.8513, 0.6745, 0.9137)  2 Mg 2.99-3.03, 4 Hg 3.16-3.25
Ca (0.5000, 0.0000, 0.0000)  8 Hg 3.08-3.40


Model x:
## CaMg2Hg8 (PBE)

Data for a relaxed structure of CaMg2Hg8.

Results
space group: C2/m

abc: 5.4830 6.2859 8.5845
angles: 111.48 96.06 90.00
With the nearest neighbours (Å) after each atom.
Atoms (fractional coordinates):
Hg (0.1045, 0.2056, 0.4112)  2 Mg 2.84-2.89
Hg (0.5328, 0.3413, 0.1901)  5 Hg 3.02-3.26, 2 Mg 3.03-3.05
Hg (0.4672, 0.1512, 0.8099)  5 Hg 3.02-3.26, 2 Mg 3.03-3.05
Hg (0.5328, 0.8488, 0.1901)  5 Hg 3.02-3.26, 2 Mg 3.03-3.05
Hg (0.4672, 0.6587, 0.8099)  5 Hg 3.02-3.26, 2 Mg 3.03-3.05
Hg (0.8955, 0.7944, 0.5888)  2 Mg 2.84-2.89
Hg (0.9862, 0.4057, 0.8114)  1 Mg 2.90, 3 Hg 3.00-3.08
Hg (0.0138, 0.5943, 0.1886)  1 Mg 2.90, 3 Hg 3.00-3.08
Ca (0.0000, 0.0000, 0.0000)  14 Hg 3.27-3.50
Mg (0.3733, 0.7418, 0.4836)  7 Hg 2.84-3.05
Mg (0.6267, 0.2582, 0.5164)  7 Hg 2.84-3.05


model x takes first place; second place is 0.024 eV/atom up.


Model w:
## Ca2MgHg6 (PBE)

Data for a relaxed structure of Ca2MgHg6.

Results
space group: P2_1/c

abc: 7.2690 6.6757 9.8348
angles: 90.00 80.40 90.00
With the nearest neighbours (Å) after each atom.
Atoms (fractional coordinates):
Hg (0.8134, 0.2733, 0.0258)  1 Mg 2.78, 2 Hg 3.03-3.06
Hg (0.7311, 0.2921, 0.4916)  1 Mg 2.77, 2 Hg 3.02-3.03
Hg (0.1866, 0.7267, 0.9742)  1 Mg 2.78, 2 Hg 3.03-3.06
Hg (0.0387, 0.0137, 0.7756)  1 Mg 2.77, 2 Hg 3.02-3.06
Hg (0.6866, 0.7733, 0.4742)  1 Mg 2.78, 2 Hg 3.03-3.06
Hg (0.7689, 0.7921, 0.0084)  1 Mg 2.77, 2 Hg 3.02-3.03
Hg (0.2689, 0.7079, 0.5084)  1 Mg 2.77, 2 Hg 3.02-3.03
Hg (0.5387, 0.4863, 0.2756)  1 Mg 2.77, 2 Hg 3.02-3.06
Hg (0.2311, 0.2079, 0.9916)  1 Mg 2.77, 2 Hg 3.02-3.03
Hg (0.3134, 0.2267, 0.5258)  1 Mg 2.78, 2 Hg 3.03-3.06
Hg (0.4613, 0.5137, 0.7244)  1 Mg 2.77, 2 Hg 3.02-3.06
Hg (0.9613, 0.9863, 0.2244)  1 Mg 2.77, 2 Hg 3.02-3.06
Ca (0.0633, 0.4923, 0.2745)  9 Hg 3.23-3.62
Ca (0.4367, 0.9923, 0.2255)  9 Hg 3.23-3.62
Ca (0.5633, 0.0077, 0.7745)  9 Hg 3.23-3.62
Ca (0.9367, 0.5077, 0.7255)  9 Hg 3.23-3.62
Mg (0.0000, 0.0000, 0.5000)  6 Hg 2.77-2.78
Mg (0.5000, 0.5000, 0.0000)  6 Hg 2.77-2.78


Model x:
## Ca2MgHg6 (PBE)

Data for a relaxed structure of Ca2MgHg6.

Results
space group: P-3m1

abc: 6.2952 6.5095 6.5095
angles: 59.97 89.98 89.98
With the nearest neighbours (Å) after each atom.
Atoms (fractional coordinates):
Ca (0.8427, 0.6666, 0.6666)  12 Hg 3.40-3.76
Ca (0.1573, 0.3334, 0.3334)  12 Hg 3.40-3.76
Hg (0.6846, 0.6455, 0.1772)  1 Mg 2.82, 4 Hg 3.04-3.07
Hg (0.6850, 0.1776, 0.1776)  1 Mg 2.82, 4 Hg 3.04-3.07
Hg (0.3154, 0.8228, 0.3545)  1 Mg 2.82, 4 Hg 3.04-3.07
Hg (0.6846, 0.1772, 0.6455)  1 Mg 2.82, 4 Hg 3.04-3.07
Hg (0.3154, 0.3545, 0.8228)  1 Mg 2.82, 4 Hg 3.04-3.07
Hg (0.3150, 0.8224, 0.8224)  1 Mg 2.82, 4 Hg 3.04-3.07
Mg (0.0000, 0.0000, 0.0000)  6 Hg 2.82


model x takes first place; second place is 0.012 eV/atom up.


Model w:
## CaMg3Hg2 (PBE)

Data for a relaxed structure of CaMg3Hg2.

Results
space group: C2/m

abc: 4.4600 9.8596 8.1656
angles: 120.85 90.00 103.07
With the nearest neighbours (Å) after each atom.
Atoms (fractional coordinates):
Mg (0.6881, 0.3762, 0.4808)  4 Hg 2.90-2.98, 5 Mg 3.13-3.15
Mg (0.3407, 0.6814, 0.1755)  4 Hg 2.89-3.04, 1 Mg 3.13
Mg (0.3119, 0.6238, 0.5192)  4 Hg 2.90-2.98, 5 Mg 3.13-3.15
Mg (0.9299, 0.8598, 0.5286)  3 Hg 2.86-2.87, 3 Mg 2.96-3.15
Mg (0.6593, 0.3186, 0.8245)  4 Hg 2.89-3.04, 1 Mg 3.13
Mg (0.0701, 0.1402, 0.4714)  3 Hg 2.86-2.87, 3 Mg 2.96-3.15
Ca (0.1129, 0.2258, 0.0828)  6 Hg 3.20-3.54, 4 Mg 3.49-3.56
Ca (0.8871, 0.7742, 0.9172)  6 Hg 3.20-3.54, 4 Mg 3.49-3.56
Hg (0.4932, 0.9864, 0.7865)  4 Mg 2.86-3.04, 2 Ca 3.20
Hg (0.5068, 0.0136, 0.2135)  4 Mg 2.86-3.04, 2 Ca 3.20
Hg (0.2417, 0.4834, 0.7590)  7 Mg 2.87-2.95
Hg (0.7583, 0.5166, 0.2410)  7 Mg 2.87-2.95


Model x:
## CaMg3Hg2 (PBE)

Data for a relaxed structure of CaMg3Hg2.

Results
space group: C2/m

abc: 4.4308 9.7921 11.1517
angles: 106.70 90.00 103.08
With the nearest neighbours (Å) after each atom.
Atoms (fractional coordinates):
Mg (0.0440, 0.0880, 0.3415)  4 Hg 2.90-3.00, 5 Mg 3.06-3.25
Mg (0.5000, 0.0000, 0.5000)  2 Hg 2.72
Mg (0.3185, 0.6370, 0.0247)  4 Hg 2.84-2.88, 1 Mg 3.15
Mg (0.2114, 0.4229, 0.4015)  4 Hg 2.76-2.89, 1 Mg 3.06
Mg (0.6217, 0.2433, 0.2101)  4 Hg 2.93-3.05, 5 Mg 3.15-3.25
Mg (0.7886, 0.5771, 0.5985)  4 Hg 2.76-2.89, 1 Mg 3.06
Mg (0.6815, 0.3630, 0.9753)  4 Hg 2.84-2.88, 1 Mg 3.15
Mg (0.9560, 0.9120, 0.6585)  4 Hg 2.90-3.00, 5 Mg 3.06-3.25
Mg (0.3783, 0.7567, 0.7899)  4 Hg 2.93-3.05, 5 Mg 3.15-3.25
Hg (0.5398, 0.0797, 0.7983)  4 Mg 2.84-3.05
Hg (0.3608, 0.7216, 0.5183)  7 Mg 2.72-3.00
Hg (0.4602, 0.9203, 0.2017)  4 Mg 2.84-3.05
Hg (0.2040, 0.4079, 0.1448)  6 Mg 2.82-2.93
Hg (0.6392, 0.2784, 0.4817)  7 Mg 2.72-3.00
Hg (0.7960, 0.5921, 0.8552)  6 Mg 2.82-2.93
Ca (0.1552, 0.3104, 0.7068)  6 Hg 3.29-3.50, 3 Mg 3.64-3.68
Ca (0.0000, 0.0000, 0.0000)  6 Hg 3.40-3.75, 6 Mg 3.55-3.65
Ca (0.8448, 0.6896, 0.2932)  6 Hg 3.29-3.50, 3 Mg 3.64-3.68


model x takes first place; second place is 0.018 eV/atom up.